(1)
{
  "formula": "ThZnIn",
  "functional": "PBE",
  "state": "relaxed",
  "spacegroup": "No. 156",
  "e_tot_ev_per_atom": -4.11,
  "lattice_angstrom": [[3.787, 0.000, 0.000], [0.000, 4.740, 0.000], [0.000, -2.370, 4.105]],
  "species": ["Th", "Zn", "In"],
  "frac_coords": [[0.667, 0.667, 0.333], [0.166, 0.333, 0.667], [0.168, 0.000, 0.000]]
}

***

(2)
{
  "formula": "Mo2OsBr",
  "functional": "PBE",
  "state": "relaxed",
  "spacegroup": "No. 71",
  "e_above_lowest_polymorph_ev_per_atom": 0.4028,
  "e_form_raw_kj_per_mol_atoms": 84.59,
  "lattice_angstrom": [[-1.269, 4.561, 2.481], [-5.162, 1.272, 0.553], [3.907, -3.492, 1.055]],
  "species": ["Mo", "Mo", "Br", "Os"],
  "frac_coords": [[0.015, 0.015, 0.000], [0.485, 0.485, 0.000], [0.250, 0.750, 0.500], [0.750, 0.250, 0.500]]
}

***

(3)
{
  "formula": "K2RbZnPb",
  "functional": "PBE",
  "state": "relaxed",
  "spacegroup": "No. 123",
  "e_tot_ev_per_atom": -1.59,
  "lattice_angstrom": [[-6.333, 0.075, 2.206], [-2.015, -2.930, -5.686], [0.715, -4.790, 2.215]],
  "species": ["K", "Zn", "K", "Rb", "Pb"],
  "frac_coords": [[0.500, 0.000, 0.000], [0.000, 0.000, 0.000], [0.000, 0.500, 0.000], [0.500, 0.500, 0.500], [0.000, 0.000, 0.500]]
}

***

(4)
{
  "formula": "RbGa4Sn2",
  "functional": "PBE",
  "state": "relaxed",
  "spacegroup": "No. 65",
  "e_above_lowest_polymorph_ev_per_atom": 0.0000,
  "lattice_angstrom": [[-2.475, -4.155, 0.404], [1.801, -0.616, 4.705], [-6.943, 4.181, 0.467]],
  "species": ["Rb", "Sn", "Ga", "Ga", "Sn", "Ga", "Ga"],
  "frac_coords": [[0.000, 0.000, 0.000], [0.500, 0.609, 0.218], [0.500, 0.808, 0.615], [0.000, 0.288, 0.576], [0.500, 0.391, 0.782], [0.500, 0.192, 0.385], [0.000, 0.712, 0.424]]
}

***

(5)
{
  "formula": "Sr5Ir3O11",
  "functional": "PBE",
  "state": "relaxed",
  "spacegroup": "No. 5",
  "e_form_raw_kj_per_mol_atoms": -174.71,
  "lattice_angstrom": [[3.966, 0.034, -0.006], [-0.030, 3.966, -0.006], [0.035, 0.035, 16.789]],
  "species": ["O", "O", "O", "Sr", "O", "O", "O", "O", "Sr", "O", "Ir", "O", "Sr", "Sr", "O", "Ir", "Ir", "Sr", "O"],
  "frac_coords": [[0.007, 0.993, 0.876], [0.506, 0.495, 0.745], [0.007, 0.993, 0.124], [0.507, 0.493, 0.890], [0.008, 0.493, 0.000], [0.519, 0.996, 0.377], [0.507, 0.992, 0.000], [0.002, 0.478, 0.382], [0.008, 0.993, 0.269], [0.522, 0.998, 0.618], [0.503, 0.498, 0.623], [0.468, 0.532, 0.500], [0.000, 0.000, 0.500], [0.007, 0.992, 0.731], [0.505, 0.494, 0.255], [0.502, 0.497, 0.377], [0.007, 0.993, 0.000], [0.507, 0.493, 0.110], [0.004, 0.481, 0.623]]
}

***

(6)
{
  "formula": "DyMnFe10",
  "functional": "PBE",
  "state": "relaxed",
  "spacegroup": "No. 47",
  "e_tot_ev_per_atom": -8.05,
  "lattice_angstrom": [[3.977, 0.000, 0.000], [0.000, 4.834, 0.000], [0.000, 0.000, 8.382]],
  "species": ["Fe", "Fe", "Fe", "Dy", "Fe", "Fe", "Fe", "Mn", "Fe", "Fe", "Fe", "Fe"],
  "frac_coords": [[0.500, 0.747, 0.742], [0.500, 0.253, 0.258], [0.500, 0.500, 0.000], [0.000, 0.000, 0.000], [0.500, 0.747, 0.258], [0.000, 0.000, 0.657], [0.000, 0.000, 0.343], [0.000, 0.500, 0.500], [0.000, 0.500, 0.179], [0.500, 0.253, 0.742], [0.000, 0.500, 0.821], [0.500, 0.000, 0.500]]
}

***

(7)
{
  "formula": "ErAlIr",
  "functional": "PBE",
  "state": "relaxed",
  "spacegroup": "No. 107",
  "e_tot_ev_per_atom": -6.44,
  "lattice_angstrom": [[3.152, 0.000, 0.000], [0.000, 3.152, 0.000], [-1.576, -1.576, 5.601]],
  "species": ["Al", "Er", "Ir"],
  "frac_coords": [[0.303, 0.303, 0.607], [0.012, 0.012, 0.024], [0.685, 0.685, 0.369]]
}

***

(8)
{
  "formula": "Na2YAuO4",
  "functional": "PBE",
  "state": "relaxed",
  "spacegroup": "No. 82",
  "e_form_raw_kj_per_mol_atoms": -161.17,
  "lattice_angstrom": [[5.288, 0.160, 0.245], [-2.108, 4.852, -0.245], [-2.108, -2.177, 4.343]],
  "species": ["O", "Y", "Na", "O", "O", "O", "Na", "Au"],
  "frac_coords": [[0.106, 0.299, 0.770], [0.500, 0.250, 0.750], [0.500, 0.750, 0.250], [0.471, 0.807, 0.701], [0.894, 0.664, 0.193], [0.529, 0.230, 0.336], [0.000, 0.000, 0.000], [0.000, 0.500, 0.500]]
}

***

(9)
{
  "formula": "Sb2TeRuS",
  "functional": "PBE",
  "state": "relaxed",
  "spacegroup": "No. 123",
  "e_above_lowest_polymorph_ev_per_atom": 0.0000,
  "e_form_raw_kj_per_mol_atoms": 53.67,
  "lattice_angstrom": [[5.160, 0.000, 0.000], [0.000, 5.160, 0.000], [0.000, 0.000, 5.034]],
  "species": ["Sb", "S", "Sb", "Te", "Ru"],
  "frac_coords": [[0.500, 0.000, 0.000], [0.500, 0.500, 0.500], [0.000, 0.500, 0.000], [0.000, 0.000, 0.500], [0.000, 0.000, 0.000]]
}

***

(10)
{
  "formula": "KLi2Sb4",
  "functional": "PBE",
  "state": "relaxed",
  "spacegroup": "No. 139",
  "e_form_raw_kj_per_mol_atoms": -19.80,
  "lattice_angstrom": [[6.494, 0.000, 0.000], [3.247, 5.489, 0.000], [3.247, 0.000, 5.489]],
  "species": ["Sb", "Li", "K", "Li", "Sb", "Sb", "Sb"],
  "frac_coords": [[0.307, 0.000, 0.385], [0.250, 0.500, 0.500], [0.000, 0.000, 0.000], [0.750, 0.500, 0.500], [0.307, 0.385, 0.000], [0.693, 0.615, 0.000], [0.693, 0.000, 0.615]]
}

***

- What is the formula in the fourth record?
  RbGa4Sn2

***

- Which formula does entry 9 have?
  Sb2TeRuS